Below is a relaxed structure of Li3Mn3P4O16, with properties calculated at the PBE with a Hubbard U level.

magnetic moment = 12.00 μB/f.u.
VASP energy = -7.022 eV/atom
ΔE to the lowest computed polymorph = 0.050 eV/atom

abc: 5.123 6.691 10.094
angles: 103.23 91.50 106.21
Site moments in Bohr magnetons follow the coordinates.
Atoms (fractional coordinates):
1 P 0.640 0.928 0.257  0.01
2 P 0.480 0.660 0.730  0.01
3 P 0.360 0.072 0.743  0.01
4 P 0.520 0.340 0.270  0.01
5 O 0.369 0.312 0.390  -0.02
6 O 0.349 0.794 0.274  0.00
7 O 0.663 0.635 0.850  0.01
8 O 0.816 0.004 0.391  -0.01
9 O 0.202 0.478 0.699  -0.01
10 O 0.785 0.372 0.009  -0.16
11 O 0.396 0.874 0.802  0.00
12 O 0.215 0.628 0.991  -0.16
13 O 0.631 0.688 0.610  -0.02
14 O 0.774 0.814 0.135  0.06
15 O 0.604 0.126 0.198  0.00
16 O 0.184 0.996 0.609  -0.01
17 O 0.651 0.206 0.726  0.00
18 O 0.798 0.522 0.301  -0.01
19 O 0.226 0.186 0.865  0.06
20 O 0.337 0.365 0.150  0.01
21 Li 0.000 0.000 0.000  0.00
22 Li 0.874 0.785 0.487  0.00
23 Li 0.126 0.215 0.513  0.00
24 Mn 0.042 0.588 0.156  3.98
25 Mn 0.958 0.412 0.844  3.98
26 Mn 0.500 0.500 0.000  3.90